[1]
# Cd2InAu2 PBE-GGA relaxed
# Energy above the lowest structure with this stoichiometry   0.044 eV/atom
data_Cd2InAu2
_cell_length_a 12.019
_cell_length_b 4.627
_cell_length_c 8.675
_cell_angle_alpha 90.00
_cell_angle_beta 116.01
_cell_angle_gamma 90.00
_space_group_name_H-M_alt 'C 1 2/m 1'
_space_group_IT_number 12
_space_group_name_Hall '-C 2y'
loop_
_atom_site_label
_atom_site_type_symbol
_atom_site_fract_x
_atom_site_fract_y
_atom_site_fract_z
Cd1 Cd 0.004 0.000 0.331
Cd2 Cd 0.180 0.000 0.057
In1 In 0.210 0.500 0.325
Au1 Au 0.054 0.500 0.883
Au2 Au 0.133 0.500 0.596

[2]
Cd7InAu4 | PBE-GGA | relaxed

```
data_Cd7InAu4
_cell_length_a 12.626
_cell_length_b 5.260
_cell_length_c 10.206
_cell_angle_alpha 90.00
_cell_angle_beta 125.53
_cell_angle_gamma 90.00
_space_group_name_H-M_alt 'C 1 2/m 1'
_space_group_IT_number 12
_space_group_name_Hall '-C 2y'
loop_
_atom_site_label
_atom_site_type_symbol
_atom_site_fract_x
_atom_site_fract_y
_atom_site_fract_z
Cd1 Cd 0.000 0.000 0.000
Cd2 Cd 0.065 0.500 0.356
Cd3 Cd 0.158 0.000 0.582
Cd4 Cd 0.216 0.500 0.883
In1 In 0.000 0.500 0.000
Au1 Au 0.072 0.000 0.776
Au2 Au 0.207 0.000 0.333
```

[3]
CdInAu2 | PBE-GGA | relaxed

```
data_CdInAu2
_cell_length_a 4.190
_cell_length_b 4.323
_cell_length_c 8.827
_cell_angle_alpha 90.00
_cell_angle_beta 90.00
_cell_angle_gamma 90.00
_space_group_name_H-M_alt 'I m m 2'
_space_group_IT_number 44
_space_group_name_Hall 'I 2 -2'
loop_
_atom_site_label
_atom_site_type_symbol
_atom_site_fract_x
_atom_site_fract_y
_atom_site_fract_z
Cd1 Cd 0.000 0.000 0.000
In1 In 0.000 0.500 0.754
Au1 Au 0.000 0.000 0.503
Au2 Au 0.000 0.500 0.250
```

[4]
# CdInAu3 PBE-GGA relaxed
# Energy above the lowest structure with this stoichiometry   0.533 eV/atom
data_CdInAu3
_cell_length_a 5.252
_cell_length_b 5.252
_cell_length_c 5.252
_cell_angle_alpha 90.00
_cell_angle_beta 90.00
_cell_angle_gamma 90.00
_space_group_name_H-M_alt 'P m -3 m'
_space_group_IT_number 221
_space_group_name_Hall '-P 4 2 3'
loop_
_atom_site_label
_atom_site_type_symbol
_atom_site_fract_x
_atom_site_fract_y
_atom_site_fract_z
Cd1 Cd 0.000 0.000 0.000
In1 In 0.500 0.500 0.500
Au1 Au 0.000 0.000 0.500

[5]
CdIn4Au | PBE-GGA | relaxed

```
data_CdIn4Au
_cell_length_a 8.651
_cell_length_b 8.651
_cell_length_c 8.651
_cell_angle_alpha 90.00
_cell_angle_beta 90.00
_cell_angle_gamma 90.00
_space_group_name_H-M_alt 'F -4 3 m'
_space_group_IT_number 216
_space_group_name_Hall 'F -4 2 3'
loop_
_atom_site_label
_atom_site_type_symbol
_atom_site_fract_x
_atom_site_fract_y
_atom_site_fract_z
Cd1 Cd 0.000 0.000 0.000
In1 In 0.125 0.125 0.625
Au1 Au 0.250 0.250 0.250
```

[6]
CdInAu2 | PBE-GGA | relaxed

```
data_CdInAu2
_cell_length_a 3.499
_cell_length_b 4.495
_cell_length_c 5.585
_cell_angle_alpha 90.00
_cell_angle_beta 106.17
_cell_angle_gamma 90.00
_space_group_name_H-M_alt 'P 1 m 1'
_space_group_IT_number 6
_space_group_name_Hall 'P -2y'
loop_
_atom_site_label
_atom_site_type_symbol
_atom_site_fract_x
_atom_site_fract_y
_atom_site_fract_z
Cd1 Cd 0.000 0.000 0.000
In1 In 0.711 0.500 0.397
Au1 Au 0.269 0.000 0.531
Au2 Au 0.448 0.500 0.874
```

[7]
# Cd3InAu PBE-GGA relaxed
# Energy above the lowest structure with this stoichiometry   0.086 eV/atom
data_Cd3InAu
_cell_length_a 7.2606
_cell_length_b 7.2606
_cell_length_c 5.5115
_cell_angle_alpha 90.00
_cell_angle_beta 90.00
_cell_angle_gamma 120.00
_space_group_name_H-M_alt 'P 63/m m c'
_space_group_IT_number 194
_space_group_name_Hall '-P 6c 2c'
loop_
_atom_site_label
_atom_site_type_symbol
_atom_site_fract_x
_atom_site_fract_y
_atom_site_fract_z
Cd1 Cd 0.1964 0.3928 0.2500
In1 In 0.3333 0.6667 0.7500
Au1 Au 0.0000 0.0000 0.0000

[8]
Cd2InAu9 | PBE-GGA | relaxed

```
data_Cd2InAu9
_cell_length_a 4.240
_cell_length_b 4.240
_cell_length_c 12.512
_cell_angle_alpha 90.00
_cell_angle_beta 90.00
_cell_angle_gamma 90.00
_space_group_name_H-M_alt 'P 4/m m m'
_space_group_IT_number 123
_space_group_name_Hall '-P 4 2'
loop_
_atom_site_label
_atom_site_type_symbol
_atom_site_fract_x
_atom_site_fract_y
_atom_site_fract_z
Cd1 Cd 0.000 0.000 0.167
In1 In 0.000 0.000 0.500
Au1 Au 0.000 0.500 0.000
Au2 Au 0.000 0.500 0.333
Au3 Au 0.500 0.500 0.167
Au4 Au 0.500 0.500 0.500
```

Calculated E_tot (eV per formula unit), listed in the same order as above: -11.83; -22.70; -10.65; -11.48; -13.75; -10.94; -8.71; -35.34
Calculated density of states at the Fermi level (states/eV/f.u.), listed in the same order as above: 1.54; 4.44; 1.36; 0.92; 3.35; 1.24; 1.45; 5.76
Calculated formation energy from the elements (eV/atom), listed in the same order as above: -0.141; -0.038; -0.110; 0.402; 0.233; -0.183; 0.010; -0.106